26
Lattice="-3.608 -0.415 -0.406 0.036 -8.481 8.332 -3.303 14.378 14.649" Properties=species:S:1:pos:R:3 comment="Pm5Nd2Sm6 PBE-GGA optimized geometry" e_tot_ev_per_atom=-4.647 ef_ev_per_atom=0.09 crystal_system=orthorhombic pbc="T T T"
Pm -3.263 3.645 8.824
Pm -3.611 1.837 13.751
Pm -1.956 -6.210 7.269
Pm -4.918 11.692 15.306
Pm -2.701 -1.169 8.746
Pm -4.173 6.652 13.829
Pm -2.533 2.261 3.755
Pm -4.341 3.221 18.820
Pm -1.786 -4.448 3.963
Pm -3.455 6.982 7.122
Nd -0.925 1.314 6.876
Nd -2.341 4.583 16.105
Nd -0.684 -3.899 10.051
Nd -2.582 9.796 12.930
Sm -1.204 4.601 5.994
Sm -2.062 1.296 16.987
Sm -0.424 -2.958 6.779
Sm -2.843 8.855 16.202
Sm -2.222 -1.051 4.373
Sm -4.652 6.534 18.201
Sm -2.995 -1.848 12.048
Sm -3.879 7.330 10.527
Sm -1.377 1.322 10.877
Sm -1.889 4.575 12.104
Sm -0.252 0.584 1.638
Sm -3.015 5.313 21.343

12
Lattice="-3.015 -0.203 1.934 -0.197 -6.398 -0.981 9.474 -7.051 14.031" Properties=species:S:1:pos:R:3 comment="Pm3Nd2Sm7 PBE-GGA optimized geometry" e_above_lowest_polymorph_mev_per_atom=0.0 e_tot_ev_per_atom=-4.663 ef_ev_per_atom=0.07 crystal_system=monoclinic pbc="T T T"
Pm -1.606 -3.301 0.476
Pm 3.195 -3.109 4.655
Pm 6.081 -10.340 8.395
Nd 1.487 -6.346 4.980
Nd 4.774 -7.306 10.004
Sm 3.191 -5.187 7.759
Sm 3.070 -8.466 7.225
Sm 1.454 -4.752 1.767
Sm 0.000 0.000 0.000
Sm 7.822 -8.697 11.283
Sm 6.200 -12.001 11.734
Sm 0.061 -1.651 3.250

12
Lattice="3.638 0.000 0.000 0.000 6.294 -0.436 0.000 1.253 17.817" Properties=species:S:1:pos:R:3 comment="PmNdSm4 PBE-GGA optimized geometry" e_above_lowest_polymorph_mev_per_atom=0.0 e_tot_ev_per_atom=-4.718 ef_ev_per_atom=0.01 crystal_system=monoclinic pbc="T T T"
Pm 0.000 0.626 8.908
Pm 1.819 3.147 -0.218
Nd 1.819 3.773 8.690
Nd 0.000 0.000 0.000
Sm 1.811 1.466 5.858
Sm 3.630 2.307 2.832
Sm 1.827 6.080 11.523
Sm 0.008 5.240 14.549
Sm 3.630 4.614 5.637
Sm 1.810 5.453 2.617
Sm 0.009 2.933 11.744
Sm 1.828 2.093 14.763